Entry 1:
! PBE Ti3CdC, relaxed; values from VASP
! size of the total moment	0.0	μB per formula unit
! ρ	5.62	g cm⁻³
! energy of formation	-349	meV/atom
! ΔE to the lowest computed polymorph	8.9	kJ per mole of atoms
! total energy	-7.11	eV per atom
&SYSTEM
  ibrav = 0, nat = 10, ntyp = 3
/
ATOMIC_SPECIES
Ti 47.87 Ti.upf
Cd 112.41 Cd.upf
C 12.01 C.upf
ATOMIC_POSITIONS angstrom
Ti 3.450 1.239 1.712
Ti 3.419 1.239 7.115
Ti 3.551 2.790 9.703
Ti 0.976 2.790 0.945
Ti 1.107 1.239 8.799
Ti 1.006 2.790 6.348
Cd 1.054 1.239 3.534
Cd 3.498 2.790 4.526
C 2.287 2.790 7.987
C 4.732 1.239 0.073
CELL_PARAMETERS angstrom
4.888 0.000 0.000
0.000 3.102 0.000
-0.001 0.000 10.442

---

Entry 2:
! PBE Ti3CdC, relaxed; values from VASP
! size of the total moment	1.8	μB per formula unit
! ρ	4.96	g cm⁻³
! energy of formation	63	meV/atom
! ΔE to the lowest computed polymorph	48.6	kJ per mole of atoms
! total energy	-6.70	eV per atom
&SYSTEM
  ibrav = 0, nat = 10, ntyp = 3
/
ATOMIC_SPECIES
Ti 47.87 Ti.upf
Cd 112.41 Cd.upf
C 12.01 C.upf
ATOMIC_POSITIONS angstrom
Ti 1.574 1.196 2.218
Ti 12.112 0.292 3.659
Ti 9.647 -0.627 4.822
Ti 13.559 -0.532 6.004
Ti 5.486 1.290 3.400
Ti 4.037 0.097 1.220
Cd 8.075 0.195 2.439
Cd 0.000 0.000 0.000
C 3.530 1.243 2.809
C 11.603 -0.580 5.413
CELL_PARAMETERS angstrom
-0.506 3.163 1.424
-0.510 -2.889 1.920
16.150 0.389 4.878

---

Entry 3:
! PBE Ti3CdC, relaxed; values from VASP
! size of the total moment	0.0	μB per formula unit
! ρ	5.65	g cm⁻³
! energy of formation	-344	meV/atom
! ΔE to the lowest computed polymorph	9.3	kJ per mole of atoms
! total energy	-7.11	eV per atom
&SYSTEM
  ibrav = 0, nat = 10, ntyp = 3
/
ATOMIC_SPECIES
Ti 47.87 Ti.upf
Cd 112.41 Cd.upf
C 12.01 C.upf
ATOMIC_POSITIONS angstrom
Ti 3.064 2.248 8.834
Ti 3.327 2.247 1.361
Ti 0.714 0.688 1.232
Ti 2.311 3.806 6.322
Ti -0.242 2.247 6.246
Ti 0.498 3.806 8.562
Cd 1.522 2.247 3.754
Cd 4.104 0.688 3.819
C 1.452 2.247 7.448
C 4.987 2.247 0.126
CELL_PARAMETERS angstrom
5.142 0.000 -0.002
0.000 3.118 0.000
-0.957 1.560 9.819

---

Entry 4:
! PBE Ti3CdC, relaxed; values from VASP
! size of the total moment	0.0	μB per formula unit
! ρ	5.69	g cm⁻³
! energy of formation	-374	meV/atom
! ΔE to the lowest computed polymorph	6.4	kJ per mole of atoms
! total energy	-7.14	eV per atom
&SYSTEM
  ibrav = 0, nat = 20, ntyp = 3
/
ATOMIC_SPECIES
Ti 47.87 Ti.upf
Cd 112.41 Cd.upf
C 12.01 C.upf
ATOMIC_POSITIONS angstrom
Ti 4.300 5.258 0.396
Ti 9.713 9.899 0.775
Ti 6.789 3.811 0.263
Ti 1.251 8.440 -0.222
Ti 9.750 3.738 0.914
Ti 4.250 2.351 0.568
Ti 4.213 8.367 0.429
Ti 1.200 11.347 -0.051
Ti 9.801 0.831 0.742
Ti 1.288 2.278 -0.083
Ti 6.752 9.826 0.124
Ti 6.701 6.920 0.295
Cd 9.676 6.838 0.911
Cd 8.605 5.340 -1.491
Cd 1.326 5.340 -0.219
Cd 2.396 6.838 2.183
C 4.965 6.862 -0.855
C 6.036 8.474 1.547
C 6.036 5.316 1.547
C 4.965 3.703 -0.855
CELL_PARAMETERS angstrom
11.001 0.000 0.692
4.430 6.089 -2.056
-4.430 6.089 2.056

---

Entry 5:
! PBE YTi2CdC, relaxed; values from VASP
! size of the total moment	0.0	μB per formula unit
! ρ	5.68	g cm⁻³
! energy of formation	-299	meV/atom
! total energy	-6.78	eV per atom
&SYSTEM
  ibrav = 0, nat = 5, ntyp = 4
/
ATOMIC_SPECIES
Ti 47.87 Ti.upf
Y 88.91 Y.upf
C 12.01 C.upf
Cd 112.41 Cd.upf
ATOMIC_POSITIONS angstrom
Ti -0.835 -1.516 -1.302
Ti 1.910 -0.191 -1.003
Y 0.652 -1.705 1.567
C 0.000 0.000 0.000
Cd 1.727 -3.412 -0.738
CELL_PARAMETERS angstrom
-1.670 -3.032 -2.604
3.820 -0.382 -2.006
1.304 -3.411 3.134

---

Entry 6:
! PBE ZrTi2CdC, relaxed; values from VASP
! size of the total moment	0.0	μB per formula unit
! ρ	6.21	g cm⁻³
! energy of formation	-416	meV/atom
! total energy	-7.31	eV per atom
&SYSTEM
  ibrav = 0, nat = 5, ntyp = 4
/
ATOMIC_SPECIES
Zr 91.22 Zr.upf
Ti 47.87 Ti.upf
C 12.01 C.upf
Cd 112.41 Cd.upf
ATOMIC_POSITIONS angstrom
Zr -0.721 -1.005 1.907
Ti -1.003 1.802 0.570
Ti -1.764 -0.660 -1.015
C 0.000 0.000 0.000
Cd -3.488 0.137 1.462
CELL_PARAMETERS angstrom
-2.006 3.604 1.141
-3.528 -1.320 -2.030
-1.442 -2.010 3.813